[1]
# PBE Ba3Pm2PrSe6, relaxed
data_Ba3Pm2PrSe6
_space_group_name_H-M_alt 'C 1 2/m 1'
_space_group_IT_number 12
_cell_length_a 7.6032
_cell_length_b 13.1550
_cell_length_c 7.8561
_cell_angle_alpha 90.00
_cell_angle_beta 108.83
_cell_angle_gamma 90.00
loop_
_space_group_symop_operation_xyz
'x,y,z'
'-x,-y,-z'
'-x,y,-z'
'x,-y,z'
'x+1/2,y+1/2,z'
'-x+1/2,-y+1/2,-z'
'-x+1/2,y+1/2,-z'
'x+1/2,-y+1/2,z'
loop_
_atom_site_label
_atom_site_fract_x
_atom_site_fract_y
_atom_site_fract_z
_atom_site_occupancy
Ba1 0.0000 0.0000 0.0000 1
Ba2 0.0000 0.3344 0.0000 1
Pm1 0.0000 0.1670 0.5000 1
Pr1 0.0000 0.5000 0.5000 1
Se1 0.2368 0.0000 0.7211 1
Se2 0.2425 0.3316 0.7221 1
# formation energy (no corrections)	-1.916	eV per atom
# calculated total energy	-5.33	eV/atom

---

[2]
# PBE Ba3PmPr2Se6, relaxed
data_Ba3PmPr2Se6
_space_group_name_H-M_alt 'C 1 2/m 1'
_space_group_IT_number 12
_cell_length_a 7.6292
_cell_length_b 13.1988
_cell_length_c 7.8709
_cell_angle_alpha 90.00
_cell_angle_beta 108.86
_cell_angle_gamma 90.00
loop_
_space_group_symop_operation_xyz
'x,y,z'
'-x,-y,-z'
'-x,y,-z'
'x,-y,z'
'x+1/2,y+1/2,z'
'-x+1/2,-y+1/2,-z'
'-x+1/2,y+1/2,-z'
'x+1/2,-y+1/2,z'
loop_
_atom_site_label
_atom_site_fract_x
_atom_site_fract_y
_atom_site_fract_z
_atom_site_occupancy
Ba1 0.0000 0.0000 0.0000 1
Ba2 0.0000 0.3322 0.0000 1
Pm1 0.0000 0.5000 0.5000 1
Pr1 0.0000 0.1663 0.5000 1
Se1 0.2391 0.3351 0.7229 1
Se2 0.2450 0.0000 0.7241 1
# formation energy (no corrections)	-1.918	eV per atom
# calculated total energy	-5.33	eV/atom

---

[3]
# PBE Ba3Pm2PrTe6, relaxed
data_Ba3Pm2PrTe6
_space_group_name_H-M_alt 'C 1 2/m 1'
_space_group_IT_number 12
_cell_length_a 8.0777
_cell_length_b 13.9665
_cell_length_c 8.3420
_cell_angle_alpha 90.00
_cell_angle_beta 108.81
_cell_angle_gamma 90.00
loop_
_space_group_symop_operation_xyz
'x,y,z'
'-x,-y,-z'
'-x,y,-z'
'x,-y,z'
'x+1/2,y+1/2,z'
'-x+1/2,-y+1/2,-z'
'-x+1/2,y+1/2,-z'
'x+1/2,-y+1/2,z'
loop_
_atom_site_label
_atom_site_fract_x
_atom_site_fract_y
_atom_site_fract_z
_atom_site_occupancy
Ba1 0.0000 0.0000 0.0000 1
Ba2 0.0000 0.3345 0.0000 1
Pm1 0.0000 0.1670 0.5000 1
Pr1 0.0000 0.5000 0.5000 1
Te1 0.2379 0.0000 0.7233 1
Te2 0.2430 0.3318 0.7244 1
# formation energy (no corrections)	-1.579	eV per atom
# calculated total energy	-4.82	eV/atom